This record from Alexandria describes crystalline Pm9Pr2Tl at its relaxed geometry. The functional is PBE-GGA.

Properties
**DOS at the Fermi energy**: 16.3 states/eV/cell
**VASP energy**: -4.600 eV per atom

Cell lengths 5.0720, 5.0720, 15.5979 Å; angles 90.00, 90.00, 90.00 degrees
Space group P4/mmm (No. 123)
Unique sites:
Pm: 0.0000 0.0000 0.0000
Pm: 0.0000 0.0000 0.3286
Pm: 0.0000 0.5000 0.1600
Pm: 0.0000 0.5000 0.5000
Pr: 0.5000 0.5000 0.3302
Tl: 0.5000 0.5000 0.0000



This record from Alexandria describes crystalline PmPr5Tl2 at its relaxed geometry. The functional is PBE-GGA.

Properties
**DOS at the Fermi energy**: 20.8 states/eV/cell
**ΔE to the lowest computed polymorph**: 0 meV/atom

Cell lengths 3.7673, 11.1487, 12.7046 Å; angles 90.00, 90.00, 90.00 degrees
Space group Immm (No. 71)
Unique sites:
Pm: 0.0000 0.0000 0.0000
Pr: 0.0000 0.2210 0.3610
Pr: 0.0000 0.5000 0.0000
Tl: 0.0000 0.5000 0.2748



This record from Alexandria describes crystalline PmPr2Tl at its relaxed geometry. The functional is PBE-GGA.

Properties
**DOS at the Fermi energy**: 4.1 states/eV/cell
**ΔE to the lowest computed polymorph**: 42 meV/atom

Cell lengths 3.7173, 3.7173, 9.5739 Å; angles 90.00, 90.00, 90.00 degrees
Space group P4/mmm (No. 123)
Unique sites:
Pm: 0.0000 0.0000 0.0000
Pr: 0.5000 0.5000 0.2724
Tl: 0.0000 0.0000 0.5000